# CaPaTc2O8 | Alexandria via LeMat-Bulk | PBE | relaxed
# - Fermi-level density of states: 0.50 states/eV per atom
# - Energy relative to the elements, uncorrected: -2.036 eV/atom
data_CaPaTc2O8
_chemical_formula_sum 'Ca1 Pa1 Tc2 O8'
_space_group_name_H-M_alt 'P -3 m 1'
_space_group_IT_number 164
_space_group_name_Hall '-P 3 2"'
_cell_length_a 5.9177
_cell_length_b 5.9177
_cell_length_c 6.7476
_cell_angle_alpha 90.00
_cell_angle_beta 90.00
_cell_angle_gamma 120.00
loop_
_atom_site_label
_atom_site_type_symbol
_atom_site_fract_x
_atom_site_fract_y
_atom_site_fract_z
Ca1 Ca 0.0000 0.0000 0.0000
Pa1 Pa 0.0000 0.0000 0.5000
Tc1 Tc 0.3333 0.6667 0.8177
O1 O 0.1595 0.3191 0.7173
O2 O 0.3333 0.6667 0.0765